First-principles (PBE) data for PmCuClO2 after structural relaxation, as listed in the Alexandria database.

a b c (Å): 3.7925 11.5309 6.7464
angles (deg): 90.00 90.00 90.00
Last column: nearest neighbours and their distance in Å.
Space group Cmcm (No. 63)
One atom of each set of equivalent atoms:
Pm  0.0000  0.2216  0.2500 (multiplicity 4)  6 O 2.38-2.46
Cu  0.0000  0.5000  0.0000 (multiplicity 4)  2 O 1.88
Cl  0.0000  0.0344  0.7500 (multiplicity 4)  4 Cu 2.57
O  0.0000  0.3387  0.5412 (multiplicity 8)  1 Cu 1.88

Computed properties:
For the energy relative to the elements, uncorrected, the calculation gives -9.71 eV per formula unit.